## PmEr2Zr (PBE-GGA)

Data for an optimized crystal structure of PmEr2Zr.

Final energy: -5.30 eV/atom
Energy of formation from the pure elements: 0.310 eV/atom
Excess energy over the best structure of this formula in the dataset: 236 meV/atom

Unit cell a=3.3565 b=3.3565 c=12.1799 alpha=82.08 beta=82.08 gamma=60.00
With the nearest neighbours (Å) after each atom.
Fractional coordinates of all 4 atoms:
Pm: 0.5000 0.5000 0.5000  6 Pm 3.36, 6 Er 3.51
Zr: 0.0000 0.0000 0.0000  2 Er 3.09, 6 Zr 3.36
Er: 0.0857 0.0857 0.7430  1 Zr 3.09, 6 Er 3.36
Er: 0.9143 0.9143 0.2570  1 Zr 3.09, 6 Er 3.36